# 1
Material: HfIrPtRh
Method: DFT, GGA-PBE
State: relaxed

SG: Pmmm, No. 47

```
data_HfIrPtRh
_symmetry_space_group_name_H-M 'P 1'
_symmetry_Int_Tables_number 1
_symmetry_space_group_name_Hall 'P 1'
_cell_length_a 3.9228
_cell_length_b 3.9918
_cell_length_c 4.0124
_cell_angle_alpha 90.00
_cell_angle_beta 90.00
_cell_angle_gamma 90.00
loop_
_atom_site_label
_atom_site_fract_x
_atom_site_fract_y
_atom_site_fract_z
Hf1 0.0000 0.0000 0.0000
Ir1 0.5000 0.5000 0.0000
Pt1 0.0000 0.5000 0.5000
Rh1 0.5000 0.0000 0.5000
```

---

# 2
Material: HfIrPtRh2
Method: DFT, GGA-PBE
State: relaxed

SG: P4/mmm, No. 123

```
data_HfIrPtRh2
_symmetry_space_group_name_H-M 'P 1'
_symmetry_Int_Tables_number 1
_symmetry_space_group_name_Hall 'P 1'
_cell_length_a 4.7106
_cell_length_b 4.7106
_cell_length_c 4.8468
_cell_angle_alpha 90.00
_cell_angle_beta 90.00
_cell_angle_gamma 90.00
loop_
_atom_site_label
_atom_site_fract_x
_atom_site_fract_y
_atom_site_fract_z
Hf1 0.0000 0.0000 0.0000
Ir1 0.5000 0.5000 0.0000
Pt1 0.0000 0.0000 0.5000
Rh1 0.0000 0.5000 0.5000
Rh2 0.5000 0.0000 0.5000
```

---

# 3
Material: HfTiIrPt
Method: DFT, GGA-PBE
State: relaxed

SG: I-4m2, No. 119

```
data_HfTiIrPt
_symmetry_space_group_name_H-M 'P 1'
_symmetry_Int_Tables_number 1
_symmetry_space_group_name_Hall 'P 1'
_cell_length_a 4.8012
_cell_length_b 4.8012
_cell_length_c 4.8012
_cell_angle_alpha 128.39
_cell_angle_beta 128.39
_cell_angle_gamma 76.00
loop_
_atom_site_label
_atom_site_fract_x
_atom_site_fract_y
_atom_site_fract_z
Hf1 0.0000 0.0000 0.0000
Ti1 0.5000 0.5000 0.0000
Ir1 0.2500 0.7500 0.5000
Pt1 0.7500 0.2500 0.5000
```

---

# 4
Material: TmHfIrPt
Method: DFT, GGA-PBE
State: relaxed

SG: F-43m, No. 216

```
data_TmHfIrPt
_symmetry_space_group_name_H-M 'P 1'
_symmetry_Int_Tables_number 1
_symmetry_space_group_name_Hall 'P 1'
_cell_length_a 4.7515
_cell_length_b 4.7515
_cell_length_c 4.7515
_cell_angle_alpha 60.00
_cell_angle_beta 60.00
_cell_angle_gamma 60.00
loop_
_atom_site_label
_atom_site_fract_x
_atom_site_fract_y
_atom_site_fract_z
Tm1 0.0000 0.0000 0.0000
Hf1 0.5000 0.5000 0.5000
Ir1 0.7500 0.7500 0.7500
Pt1 0.2500 0.2500 0.2500
```

---

Computed values of DFT total energy (unit: eV per atom) for the preceding records, in sequence: -8.9654; -6.6638; -9.0749; -8.3121.
Computed values of formation energy from the elements (unit: meV per atom) for the preceding records, in sequence: -913.8; 1247.8; -887.3; -980.4.